(1)
{
  "formula": "LiTbEuTc",
  "functional": "GGA-PBE",
  "state": "optimized geometry",
  "lattice": [[5.013, 0.000, 0.000], [2.507, 4.342, 0.000], [2.507, 1.447, 4.093]],
  "species": ["Tc", "Eu", "Li", "Tb"],
  "frac_coords": [[0.250, 0.250, 0.250], [0.500, 0.500, 0.500], [0.750, 0.750, 0.750], [0.000, 0.000, 0.000]],
  "space_group": "F-43m (216)",
  "formation_enthalpy_0k_ev_per_atom": 0.210,
  "dos_ef_per_ev_fu": 7.06
}


(2)
{
  "formula": "LiTbEuTl",
  "functional": "GGA-PBE",
  "state": "optimized geometry",
  "lattice": [[-3.098, -3.528, -2.753], [1.469, -5.231, -0.331], [-2.835, -3.798, 2.677]],
  "species": ["Eu", "Tl", "Tb", "Li"],
  "frac_coords": [[0.750, 0.750, 0.750], [0.500, 0.500, 0.500], [0.250, 0.250, 0.250], [0.000, 0.000, 0.000]],
  "space_group": "F-43m (216)",
  "formation_enthalpy_0k_ev_per_atom": -0.176,
  "dos_ef_per_ev_fu": 9.77
}


(3)
{
  "formula": "LiEuThTc",
  "functional": "GGA-PBE",
  "state": "optimized geometry",
  "lattice": [[-2.794, 4.070, -1.097], [-4.724, 0.375, 1.766], [-1.090, 3.368, 3.612]],
  "species": ["Eu", "Li", "Th", "Tc"],
  "frac_coords": [[0.250, 0.250, 0.250], [0.000, 0.000, 0.000], [0.750, 0.750, 0.750], [0.500, 0.500, 0.500]],
  "space_group": "F-43m (216)",
  "formation_enthalpy_0k_ev_per_atom": 0.147,
  "dos_ef_per_ev_fu": 10.16
}


(4)
{
  "formula": "Li2EuTh",
  "functional": "GGA-PBE",
  "state": "optimized geometry",
  "lattice": [[3.373, 0.000, 0.000], [1.687, 2.921, 0.000], [1.687, 0.974, 12.487]],
  "species": ["Eu", "Li", "Li", "Th"],
  "frac_coords": [[0.500, 0.500, 0.500], [0.086, 0.086, 0.741], [0.914, 0.914, 0.259], [0.000, 0.000, 0.000]],
  "e_above_lowest_polymorph_kcal_per_mol_atoms": 2.67,
  "space_group": "R-3m (166)",
  "formation_enthalpy_0k_ev_per_atom": 0.338,
  "dos_ef_per_ev_fu": 3.10
}


(5)
{
  "formula": "LiEu2Th",
  "functional": "GGA-PBE",
  "state": "optimized geometry",
  "lattice": [[3.505, 0.000, 0.000], [1.752, 3.035, 0.000], [1.752, 1.012, 12.657]],
  "species": ["Eu", "Eu", "Li", "Th"],
  "frac_coords": [[0.908, 0.908, 0.275], [0.092, 0.092, 0.725], [0.500, 0.500, 0.500], [0.000, 0.000, 0.000]],
  "e_above_lowest_polymorph_kcal_per_mol_atoms": 3.28,
  "space_group": "R-3m (166)",
  "formation_enthalpy_0k_ev_per_atom": 0.295,
  "dos_ef_per_ev_fu": 4.66
}


(6)
{
  "formula": "LiEu2Th",
  "functional": "GGA-PBE",
  "state": "optimized geometry",
  "lattice": [[3.684, 0.000, 0.000], [0.000, 3.684, 0.000], [0.000, 0.000, 9.783]],
  "species": ["Li", "Eu", "Eu", "Th"],
  "frac_coords": [[0.500, 0.500, 0.000], [0.000, 0.000, 0.763], [0.000, 0.000, 0.237], [0.500, 0.500, 0.500]],
  "e_above_lowest_polymorph_kcal_per_mol_atoms": 0.00,
  "space_group": "P4/mmm (123)",
  "formation_enthalpy_0k_ev_per_atom": 0.153,
  "dos_ef_per_ev_fu": 4.90
}


(7)
{
  "formula": "Li2EuTh",
  "functional": "GGA-PBE",
  "state": "optimized geometry",
  "lattice": [[3.675, 0.000, 0.000], [0.000, 3.675, 0.000], [0.000, 0.000, 8.168]],
  "species": ["Li", "Li", "Th", "Eu"],
  "frac_coords": [[0.000, 0.000, 0.762], [0.000, 0.000, 0.238], [0.500, 0.500, 0.000], [0.500, 0.500, 0.500]],
  "e_above_lowest_polymorph_kcal_per_mol_atoms": 0.00,
  "space_group": "P4/mmm (123)",
  "formation_enthalpy_0k_ev_per_atom": 0.222,
  "dos_ef_per_ev_fu": 5.12
}


(8)
{
  "formula": "LiEuThZn",
  "functional": "GGA-PBE",
  "state": "optimized geometry",
  "lattice": [[5.270, 0.000, 0.000], [2.635, 4.564, 0.000], [2.635, 1.521, 4.303]],
  "species": ["Li", "Eu", "Zn", "Th"],
  "frac_coords": [[0.500, 0.500, 0.500], [0.250, 0.250, 0.250], [0.000, 0.000, 0.000], [0.750, 0.750, 0.750]],
  "space_group": "F-43m (216)",
  "formation_enthalpy_0k_ev_per_atom": 0.064,
  "dos_ef_per_ev_fu": 5.67
}


(9)
{
  "formula": "Li4EuTl",
  "functional": "GGA-PBE",
  "state": "optimized geometry",
  "lattice": [[-1.509, -4.782, 2.691], [2.800, -4.847, -1.026], [3.404, -2.218, 3.985]],
  "species": ["Eu", "Tl", "Li", "Li", "Li", "Li"],
  "frac_coords": [[0.250, 0.250, 0.250], [0.000, 0.000, 0.000], [0.627, 0.627, 0.627], [0.627, 0.627, 0.119], [0.119, 0.627, 0.627], [0.627, 0.119, 0.627]],
  "space_group": "F-43m (216)",
  "formation_enthalpy_0k_ev_per_atom": -0.136,
  "dos_ef_per_ev_fu": 13.31
}


(10)
{
  "formula": "Li3EuTl",
  "functional": "GGA-PBE",
  "state": "optimized geometry",
  "lattice": [[5.174, 0.000, 0.000], [0.000, 5.174, 0.000], [0.000, 0.000, 5.174]],
  "species": ["Tl", "Li", "Li", "Li", "Eu"],
  "frac_coords": [[0.000, 0.000, 0.000], [0.500, 0.000, 0.000], [0.000, 0.000, 0.500], [0.000, 0.500, 0.000], [0.500, 0.500, 0.500]],
  "space_group": "Pm-3m (221)",
  "formation_enthalpy_0k_ev_per_atom": -0.020,
  "dos_ef_per_ev_fu": 14.41
}


(11)
{
  "formula": "Li2EuTl",
  "functional": "GGA-PBE",
  "state": "optimized geometry",
  "lattice": [[-4.123, 2.130, 0.572], [-2.062, -3.218, -2.873], [-0.915, -2.786, 3.777]],
  "species": ["Eu", "Li", "Li", "Tl"],
  "frac_coords": [[0.500, 0.500, 0.500], [0.000, 0.000, 0.500], [0.000, 0.500, 0.000], [0.500, 0.000, 0.000]],
  "space_group": "P4/mmm (123)",
  "formation_enthalpy_0k_ev_per_atom": -0.102,
  "dos_ef_per_ev_fu": 11.15
}


(12)
{
  "formula": "LiEuTl2",
  "functional": "GGA-PBE",
  "state": "optimized geometry",
  "lattice": [[-2.562, 3.802, 2.689], [-3.877, 2.769, -2.357], [-5.057, -0.730, 1.467]],
  "species": ["Tl", "Tl", "Eu", "Li"],
  "frac_coords": [[0.000, 0.000, 0.000], [0.500, 0.500, 0.500], [0.750, 0.750, 0.750], [0.250, 0.250, 0.250]],
  "space_group": "Fm-3m (225)",
  "formation_enthalpy_0k_ev_per_atom": -0.325,
  "dos_ef_per_ev_fu": 3.21
}


(13)
{
  "formula": "LiEuTl2",
  "functional": "GGA-PBE",
  "state": "optimized geometry",
  "lattice": [[-0.555, 1.904, -3.373], [-3.050, -3.997, -1.754], [-4.299, 2.380, 2.051]],
  "species": ["Tl", "Tl", "Eu", "Li"],
  "frac_coords": [[0.000, 0.500, 0.000], [0.000, 0.000, 0.500], [0.500, 0.500, 0.500], [0.500, 0.000, 0.000]],
  "space_group": "P4/mmm (123)",
  "formation_enthalpy_0k_ev_per_atom": -0.281,
  "dos_ef_per_ev_fu": 9.71
}


(14)
{
  "formula": "LiEuTl3",
  "functional": "GGA-PBE",
  "state": "optimized geometry",
  "lattice": [[-0.145, 5.075, 1.042], [-3.397, -0.880, 3.814], [3.912, -0.576, 3.351]],
  "species": ["Tl", "Tl", "Tl", "Eu", "Li"],
  "frac_coords": [[0.000, 0.500, 0.000], [0.500, 0.000, 0.000], [0.000, 0.000, 0.500], [0.500, 0.500, 0.500], [0.000, 0.000, 0.000]],
  "space_group": "Pm-3m (221)",
  "formation_enthalpy_0k_ev_per_atom": -0.156,
  "dos_ef_per_ev_fu": 11.99
}


(15)
{
  "formula": "Li2EuTl",
  "functional": "GGA-PBE",
  "state": "optimized geometry",
  "lattice": [[-0.373, -3.673, 0.863], [2.540, 0.396, 2.786], [-5.285, 1.615, 4.588]],
  "species": ["Eu", "Tl", "Li", "Li"],
  "frac_coords": [[0.500, 0.500, 0.500], [0.500, 0.500, 0.000], [0.000, 0.000, 0.192], [0.000, 0.000, 0.808]],
  "space_group": "P4/mmm (123)",
  "formation_enthalpy_0k_ev_per_atom": -0.116,
  "dos_ef_per_ev_fu": 8.16
}


(16)
{
  "formula": "LiEuTl2",
  "functional": "GGA-PBE",
  "state": "optimized geometry",
  "lattice": [[-1.347, -2.664, -2.110], [1.286, -2.500, 2.335], [-6.688, 0.252, 3.953]],
  "species": ["Eu", "Tl", "Tl", "Li"],
  "frac_coords": [[0.500, 0.500, 0.500], [0.000, 0.000, 0.208], [0.000, 0.000, 0.792], [0.500, 0.500, 0.000]],
  "space_group": "P4/mmm (123)",
  "formation_enthalpy_0k_ev_per_atom": -0.324,
  "dos_ef_per_ev_fu": 6.88
}


(17)
{
  "formula": "LiEuTmTl",
  "functional": "GGA-PBE",
  "state": "optimized geometry",
  "lattice": [[-4.168, -0.869, -3.320], [-3.944, -3.391, 1.448], [-4.890, 1.921, 1.246]],
  "species": ["Tm", "Eu", "Li", "Tl"],
  "frac_coords": [[0.250, 0.250, 0.250], [0.750, 0.750, 0.750], [0.000, 0.000, 0.000], [0.500, 0.500, 0.500]],
  "space_group": "F-43m (216)",
  "formation_enthalpy_0k_ev_per_atom": -0.161,
  "dos_ef_per_ev_fu": 8.94
}


(18)
{
  "formula": "LiEuYTl",
  "functional": "GGA-PBE",
  "state": "optimized geometry",
  "lattice": [[-4.055, -0.128, 3.623], [1.090, -0.741, 5.277], [-0.640, 4.104, 3.512]],
  "species": ["Y", "Eu", "Tl", "Li"],
  "frac_coords": [[0.250, 0.250, 0.250], [0.750, 0.750, 0.750], [0.000, 0.000, 0.000], [0.500, 0.500, 0.500]],
  "space_group": "F-43m (216)",
  "formation_enthalpy_0k_ev_per_atom": -0.194,
  "dos_ef_per_ev_fu": 10.14
}


(19)
{
  "formula": "LiEuTlZn",
  "functional": "GGA-PBE",
  "state": "optimized geometry",
  "lattice": [[-0.347, 4.189, -2.718], [-3.282, 3.554, 1.287], [1.625, 4.346, 1.880]],
  "species": ["Eu", "Li", "Zn", "Tl"],
  "frac_coords": [[0.750, 0.750, 0.750], [0.500, 0.500, 0.500], [0.000, 0.000, 0.000], [0.250, 0.250, 0.250]],
  "space_group": "F-43m (216)",
  "formation_enthalpy_0k_ev_per_atom": -0.248,
  "dos_ef_per_ev_fu": 9.50
}


(20)
{
  "formula": "LiEuTm",
  "functional": "GGA-PBE",
  "state": "optimized geometry",
  "lattice": [[-1.542, 2.201, -2.131], [2.344, -2.561, -4.342], [-4.964, -1.672, 1.866]],
  "species": ["Eu", "Li", "Tm"],
  "frac_coords": [[0.713, 0.333, 0.667], [0.990, 0.000, 0.000], [0.297, 0.667, 0.333]],
  "e_above_lowest_polymorph_kcal_per_mol_atoms": 1.74,
  "space_group": "P3m1 (156)",
  "formation_enthalpy_0k_ev_per_atom": 0.214,
  "dos_ef_per_ev_fu": 2.98
}